Entry 1:
First-principles (PBE) data for a relaxed ScGaAu3 crystal, as listed in the Alexandria database.

Lattice parameters (Å, degrees): 4.8105 4.8105 4.8105 90.00 90.00 90.00
Space group Pm-3m (No. 221)
Asymmetric unit:
Sc (0.0000, 0.0000, 0.0000) [1 per cell]
Ga (0.5000, 0.5000, 0.5000) [1 per cell]
Au (0.0000, 0.5000, 0.5000) [3 per cell]

Properties
Calculated density   10.525 Mg/m³
Final energy   -3.828 eV/atom
Energy above the lowest structure with this stoichiometry   462.5 meV per atom
ΔE_f   0.93 kJ per mole of atoms

Entry 2:
First-principles (PBE) data for a relaxed Ba2Pr4Sb3N2 crystal, as listed in the Alexandria database.

Lattice parameters (Å, degrees): 5.0066 5.0066 27.2127 90.00 90.00 90.00
Space group I4/mmm (No. 139)
Asymmetric unit:
Ba (0.0000, 0.0000, 0.1938) [4 per cell]
Pr (0.0000, 0.5000, 0.0804) [8 per cell]
Sb (0.0000, 0.0000, 0.3332) [4 per cell]
Sb (0.0000, 0.0000, 0.5000) [2 per cell]
N (0.0000, 0.0000, 0.0927) [4 per cell]

Properties
Calculated density   5.996 Mg/m³
Final energy   -5.813 eV/atom
E_form (uncorrected)   -1.09 eV per atom

Entry 3:
First-principles (PBE) data for a relaxed ZnIrOs2 crystal, as listed in the Alexandria database.

Lattice parameters (Å, degrees): 3.7674 3.7674 4.0717 90.00 90.00 90.00
Space group P4/mmm (No. 123)
Asymmetric unit:
Zn (0.0000, 0.0000, 0.0000) [1 per cell]
Ir (0.5000, 0.5000, 0.0000) [1 per cell]
Os (0.0000, 0.5000, 0.5000) [2 per cell]

Properties
Calculated density   18.335 Mg/m³
Final energy   -7.747 eV/atom
ΔE_f   38.71 kJ per mole of atoms

Entry 4:
First-principles (PBE) data for a relaxed Al4CuBr crystal, as listed in the Alexandria database.

Lattice parameters (Å, degrees): 7.7416 7.7416 7.7416 90.00 90.00 90.00
Space group F-43m (No. 216)
Asymmetric unit:
Al (0.1237, 0.1237, 0.1237) [16 per cell]
Cu (0.2500, 0.2500, 0.7500) [4 per cell]
Br (0.0000, 0.0000, 0.5000) [4 per cell]

Properties
Calculated density   3.599 Mg/m³
Final energy   -3.097 eV/atom
E_form (uncorrected)   0.36 eV per atom

Entry 5:
First-principles (PBE) data for a relaxed SrCa4Hg15 crystal, as listed in the Alexandria database.

Lattice parameters (Å, degrees): 4.7743 4.7743 23.1185 90.00 90.00 90.00
Space group P4/mmm (No. 123)
Asymmetric unit:
Sr (0.0000, 0.0000, 0.0000) [1 per cell]
Ca (0.0000, 0.0000, 0.2046) [2 per cell]
Ca (0.0000, 0.0000, 0.4014) [2 per cell]
Hg (0.0000, 0.5000, 0.1058) [4 per cell]
Hg (0.0000, 0.5000, 0.3029) [4 per cell]
Hg (0.0000, 0.5000, 0.5000) [2 per cell]
Hg (0.5000, 0.5000, 0.0000) [1 per cell]
Hg (0.5000, 0.5000, 0.2047) [2 per cell]
Hg (0.5000, 0.5000, 0.4006) [2 per cell]

Properties
Calculated density   10.262 Mg/m³
Final energy   -1.091 eV/atom
ΔE_f   -36.69 kJ per mole of atoms

Entry 6:
First-principles (PBE) data for a relaxed CeHo5Au6 crystal, as listed in the Alexandria database.

Lattice parameters (Å, degrees): 5.1048 7.1699 15.3801 90.00 90.00 90.00
Space group Immm (No. 71)
Asymmetric unit:
Ce (0.0000, 0.0000, 0.0000) [2 per cell]
Ho (0.0000, 0.0000, 0.3318) [4 per cell]
Ho (0.0000, 0.5000, 0.0000) [2 per cell]
Ho (0.0000, 0.5000, 0.3352) [4 per cell]
Au (0.0000, 0.2352, 0.5000) [4 per cell]
Au (0.0000, 0.2574, 0.1711) [8 per cell]

Properties
Calculated density   12.664 Mg/m³
Final energy   -4.857 eV/atom
ΔE_f   -78.78 kJ per mole of atoms